# 1
Here is PmNd4Au5 after structural relaxation from Alexandria. Energies are from GGA-PBE.

a b c (Å): 3.6913 3.6913 18.7915
angles (deg): 90.00 90.00 90.00
Space group P4/mmm (No. 123)
One atom of each set of equivalent atoms:
Pm  0.0000  0.0000  0.0000 x1
Nd  0.0000  0.0000  0.1993 x2
Nd  0.0000  0.0000  0.3998 x2
Au  0.5000  0.5000  0.0980 x2
Au  0.5000  0.5000  0.2995 x2
Au  0.5000  0.5000  0.5000 x1

Values from the calculation:
Crystal system: tetragonal
Energy of formation in eV/atom: -0.7691



# 2
Here is BaSbTe after structural relaxation from Alexandria. Energies are from GGA-PBE.

a b c (Å): 4.2455 5.0928 11.3938
angles (deg): 90.00 90.00 90.00
Space group Imm2 (No. 44)
One atom of each set of equivalent atoms:
Ba  0.0000  0.0000  0.0000 x2
Sb  0.0000  0.0000  0.3679 x2
Te  0.0000  0.0000  0.6148 x2

Values from the calculation:
Energy relative to the elements, uncorrected in eV per atom: -0.758
Crystal system: orthorhombic



DOS(E_F): 6.84; 1.53 (states/eV/f.u.)